Computed, not measured: a relaxed structure of Er3TeC at the GGA-PBE level of DFT.

```
data_Er3TeC
_space_group_name_H-M_alt 'C 1 2/c 1'
_space_group_IT_number 15
_cell_length_a 12.470
_cell_length_b 13.360
_cell_length_c 6.220
_cell_angle_alpha 90.00
_cell_angle_beta 106.18
_cell_angle_gamma 90.00
loop_
_space_group_symop_operation_xyz
'x,y,z'
'-x,-y,-z'
'-x,y,-z+1/2'
'x,-y,z+1/2'
'x+1/2,y+1/2,z'
'-x+1/2,-y+1/2,-z'
'-x+1/2,y+1/2,-z+1/2'
'x+1/2,-y+1/2,z+1/2'
loop_
_atom_site_label
_atom_site_fract_x
_atom_site_fract_y
_atom_site_fract_z
Er1 0.079 0.159 0.036
Er2 0.096 0.401 0.056
Er3 0.144 0.297 0.585
Te1 0.168 0.072 0.555
C1 0.000 0.284 0.250
C2 0.000 0.285 0.750
```

Properties
ΔE_f (raw) in meV per atom: -588
Energy relative to the lowest polymorph listed for this composition in meV per atom: 0
M_tot in μB/cell: 0.20
DOS(E_F) in states/eV/cell: 32.42